## La2Tb3Pm3 (GGA-PBE)

Data for an optimized crystal structure of La2Tb3Pm3.

```
La2Tb3Pm3
1.0
-2.578 2.580 10.268
2.578 -2.580 10.268
2.578 2.580 -10.268
La Tb Pm
2 3 3
direct
0.250 0.250 0.000
0.750 0.750 0.000
0.000 0.000 0.000
0.377 0.877 0.500
0.623 0.123 0.500
0.122 0.622 0.500
0.500 0.500 0.000
0.878 0.378 0.500
```

- SG = No. 71
- formation enthalpy at 0 K (eV/atom) = 0.0199
- total magnetic moment (μB/cell) = 0.00

=====

## Tb8GaCo2 (GGA-PBE)

Data for an optimized crystal structure of Tb8GaCo2.

```
Tb8GaCo2
1.0
4.274 -6.522 0.000
4.274 6.522 0.000
-1.316 0.000 5.180
Tb Ga Co
8 1 2
direct
0.070 0.329 0.574
0.243 0.757 0.000
0.329 0.070 0.574
0.382 0.382 0.194
0.618 0.618 0.806
0.671 0.930 0.426
0.757 0.243 0.000
0.930 0.671 0.426
0.000 0.000 0.000
0.304 0.696 0.500
0.696 0.304 0.500
```

- SG = No. 12
- formation enthalpy at 0 K (eV/atom) = -0.1036
- total magnetic moment (μB/cell) = 0.00

=====

## SnBOsPb2 (GGA-PBE)

Data for an optimized crystal structure of SnBOsPb2.

```
SnBOsPb2
1.0
5.478 0.000 0.000
0.000 5.478 0.000
0.000 0.000 4.057
Sn B Os Pb
1 1 1 2
direct
0.000 0.000 0.000
0.500 0.500 0.000
0.500 0.500 0.500
0.000 0.500 0.500
0.500 0.000 0.500
```

- SG = No. 123
- formation enthalpy at 0 K (eV/atom) = 0.6574
- total magnetic moment (μB/cell) = 0.00

=====

## AgPSeS2 (GGA-PBE)

Data for an optimized crystal structure of AgPSeS2.

```
AgPSeS2
1.0
4.843 0.000 0.000
0.000 4.843 0.000
0.000 0.000 4.813
Ag P Se S
1 1 1 2
direct
0.000 0.000 0.000
0.500 0.500 0.000
0.500 0.500 0.500
0.000 0.500 0.500
0.500 0.000 0.500
```

- ΔE_f (raw) (eV/f.u.) = 4.491
- SG = No. 123
- total magnetic moment (μB/cell) = 1.22

=====

## Pm2YPu (GGA-PBE)

Data for an optimized crystal structure of Pm2YPu.

```
Pm2YPu
1.0
3.558 0.000 0.000
0.000 3.558 0.000
0.000 0.000 10.163
Pm Y Pu
2 1 1
direct
0.000 0.000 0.244
0.000 0.000 0.756
0.500 0.500 0.500
0.500 0.500 0.000
```

- SG = No. 123
- formation enthalpy at 0 K (eV/atom) = 0.1099
- total magnetic moment (μB/cell) = 6.13

=====

## CaNi2Br (GGA-PBE)

Data for an optimized crystal structure of CaNi2Br.

```
CaNi2Br
1.0
1.696 0.979 7.878
-1.696 0.979 7.878
0.000 -1.959 7.878
Ca Ni Br
1 2 1
direct
0.000 0.000 0.000
0.239 0.239 0.239
0.761 0.761 0.761
0.500 0.500 0.500
```

- ΔE_f (raw) (eV/f.u.) = 1.694
- SG = No. 166
- total magnetic moment (μB/cell) = 0.40

=====

## Tl5CdSe4 (GGA-PBE)

Data for an optimized crystal structure of Tl5CdSe4.

```
Tl5CdSe4
1.0
9.141 0.000 0.000
0.000 9.803 0.000
0.000 0.000 8.066
Tl Cd Se
10 2 8
direct
0.003 0.058 0.243
0.003 0.442 0.243
0.250 0.250 0.649
0.497 0.058 0.243
0.497 0.442 0.243
0.503 0.558 0.757
0.503 0.942 0.757
0.750 0.750 0.351
0.997 0.558 0.757
0.997 0.942 0.757
0.250 0.750 0.293
0.750 0.250 0.707
0.000 0.250 0.880
0.000 0.750 0.120
0.250 0.529 0.497
0.250 0.971 0.497
0.500 0.250 0.880
0.500 0.750 0.120
0.750 0.029 0.503
0.750 0.471 0.503
```

- ΔE_f (raw) (eV/f.u.) = -3.451
- SG = No. 59
- total magnetic moment (μB/cell) = 0.00

=====

## Cr2BiOs (GGA-PBE)

Data for an optimized crystal structure of Cr2BiOs.

```
Cr2BiOs
1.0
-3.025 3.025 5.409
3.025 -3.025 5.409
3.025 3.025 -5.409
Cr Bi Os
4 2 2
direct
0.071 0.625 0.946
0.375 0.321 0.446
0.679 0.125 0.054
0.875 0.929 0.554
0.250 0.750 0.500
0.500 0.500 0.000
0.000 0.000 0.000
0.750 0.250 0.500
```

- SG = No. 122
- formation enthalpy at 0 K (eV/atom) = 1.2213
- total magnetic moment (μB/cell) = 9.93

=====

## PuAgH8Rh2 (GGA-PBE)

Data for an optimized crystal structure of PuAgH8Rh2.

```
PuAgH8Rh2
1.0
2.447 1.413 5.413
-2.447 1.413 5.413
0.000 -2.826 5.413
Pu Ag H Rh
1 1 8 2
direct
0.000 0.000 0.000
0.500 0.500 0.500
0.088 0.401 0.866
0.134 0.912 0.599
0.308 0.308 0.308
0.401 0.866 0.088
0.599 0.134 0.912
0.692 0.692 0.692
0.866 0.088 0.401
0.912 0.599 0.134
0.204 0.204 0.204
0.796 0.796 0.796
```

- uncorrected energy (eV/atom) = -4.960
- SG = No. 148
- total magnetic moment (μB/cell) = 5.25

=====

## BaCl (GGA-PBE)

Data for an optimized crystal structure of BaCl.

```
BaCl
1.0
7.309 0.000 0.000
0.000 9.333 0.000
0.000 0.000 9.543
Ba Cl
8 8
direct
0.007 0.116 0.141
0.008 0.680 0.882
0.492 0.320 0.382
0.493 0.884 0.641
0.507 0.384 0.859
0.508 0.820 0.118
0.992 0.180 0.618
0.993 0.616 0.359
0.065 0.842 0.594
0.221 0.474 0.625
0.279 0.526 0.125
0.435 0.158 0.094
0.565 0.658 0.406
0.721 0.026 0.375
0.779 0.974 0.875
0.935 0.342 0.906
```

- ΔE_f (raw) (eV/f.u.) = -3.555
- SG = No. 19
- total magnetic moment (μB/cell) = 0.15

=====

## TbNd2Sm4Th (GGA-PBE)

Data for an optimized crystal structure of TbNd2Sm4Th.

```
TbNd2Sm4Th
1.0
6.058 0.000 0.000
0.000 6.061 0.000
-0.011 0.000 7.337
Tb Nd Sm Th
1 2 4 1
direct
0.000 0.000 0.000
0.000 0.000 0.500
0.500 0.500 0.000
0.000 0.500 0.253
0.000 0.500 0.747
0.500 0.000 0.253
0.500 0.000 0.747
0.500 0.500 0.500
```

- SG = No. 10
- formation enthalpy at 0 K (eV/atom) = 0.1326
- total magnetic moment (μB/cell) = 0.00

=====

## VCuCI2 (GGA-PBE)

Data for an optimized crystal structure of VCuCI2.

```
VCuCI2
1.0
5.322 0.000 0.000
0.000 5.322 0.000
0.000 0.000 4.849
V Cu C I
1 1 1 2
direct
0.000 0.000 0.000
0.000 0.000 0.500
0.500 0.500 0.500
0.000 0.500 0.000
0.500 0.000 0.000
```

- ΔE_f (raw) (eV/f.u.) = 8.916
- SG = No. 123
- total magnetic moment (μB/cell) = 4.08

=====

## HgPt2Br (GGA-PBE)

Data for an optimized crystal structure of HgPt2Br.

```
HgPt2Br
1.0
-1.505 2.215 6.100
1.505 -2.215 6.100
1.505 2.215 -6.100
Hg Pt Br
1 2 1
direct
0.000 0.000 0.000
0.583 0.583 0.000
0.781 0.281 0.500
0.282 0.782 0.500
```

- ΔE_f (raw) (eV/f.u.) = 1.491
- SG = No. 44
- total magnetic moment (μB/cell) = 0.00

=====

## Pu4RhAu (GGA-PBE)

Data for an optimized crystal structure of Pu4RhAu.

```
Pu4RhAu
1.0
3.589 0.000 0.000
0.000 3.409 0.000
-1.774 0.000 10.012
Pu Rh Au
4 1 1
direct
0.022 0.000 0.163
0.409 0.500 0.313
0.591 0.500 0.687
0.978 0.000 0.837
0.500 0.500 0.000
0.000 0.000 0.500
```

- SG = No. 10
- formation enthalpy at 0 K (eV/atom) = -0.2462
- total magnetic moment (μB/cell) = 1.05

=====

## Tm2Al9Ir3 (GGA-PBE)

Data for an optimized crystal structure of Tm2Al9Ir3.

```
Tm2Al9Ir3
1.0
6.551 -3.762 0.000
6.551 3.762 0.000
-4.358 0.000 9.444
Tm Al Ir
4 18 6
direct
0.086 0.252 0.250
0.252 0.086 0.750
0.748 0.914 0.250
0.914 0.748 0.750
0.025 0.858 0.075
0.142 0.975 0.425
0.191 0.358 0.573
0.211 0.581 0.252
0.314 0.483 0.944
0.358 0.191 0.073
0.370 0.630 0.750
0.419 0.789 0.248
0.483 0.314 0.444
0.517 0.686 0.556
0.581 0.211 0.752
0.630 0.370 0.250
0.642 0.809 0.927
0.686 0.517 0.056
0.789 0.419 0.748
0.809 0.642 0.427
0.858 0.025 0.575
0.975 0.142 0.925
0.000 0.500 0.000
0.155 0.672 0.499
0.328 0.845 0.001
0.500 0.000 0.500
0.672 0.155 0.999
0.845 0.328 0.501
```

- SG = No. 15
- formation enthalpy at 0 K (eV/atom) = -0.8488
- total magnetic moment (μB/cell) = 0.00

=====

## LiGa2Cu4 (GGA-PBE)

Data for an optimized crystal structure of LiGa2Cu4.

```
LiGa2Cu4
1.0
-1.735 1.735 8.727
1.735 -1.735 8.727
1.735 1.735 -8.727
Li Ga Cu
1 2 4
direct
0.000 0.000 0.000
0.391 0.391 0.000
0.609 0.609 0.000
0.144 0.144 0.000
0.250 0.750 0.500
0.750 0.250 0.500
0.856 0.856 0.000
```

- SG = No. 139
- formation enthalpy at 0 K (eV/atom) = 0.0100
- total magnetic moment (μB/cell) = 0.00

=====

## Rb2SbI (GGA-PBE)

Data for an optimized crystal structure of Rb2SbI.

```
Rb2SbI
1.0
0.000 4.516 4.516
4.516 0.000 4.516
4.516 4.516 0.000
Rb Sb I
2 1 1
direct
0.250 0.250 0.250
0.750 0.750 0.750
0.000 0.000 0.000
0.500 0.500 0.500
```

- ΔE_f (raw) (eV/f.u.) = -2.046
- SG = No. 225
- total magnetic moment (μB/cell) = 2.00

=====

## Sr3TaW (GGA-PBE)

Data for an optimized crystal structure of Sr3TaW.

```
Sr3TaW
1.0
5.721 0.000 0.000
0.000 5.721 0.000
0.000 0.000 5.721
Sr Ta W
3 1 1
direct
0.000 0.000 0.500
0.000 0.500 0.000
0.500 0.000 0.000
0.000 0.000 0.000
0.500 0.500 0.500
```

- SG = No. 221
- formation enthalpy at 0 K (eV/atom) = 2.3767
- total magnetic moment (μB/cell) = 0.00